## Sc2Te3 (meta-GGA SCAN)

Data for Sc2Te3 at its PBEsol-relaxed geometry. Values from VASP.

Computed properties:
Energy in eV per atom: -29.339
Total magnetic moment in μB per atom: 0.000
ΔE_f (raw) in eV/atom: -1.294

```
&SYSTEM
  ibrav = 0, nat = 5, ntyp = 2
/
ATOMIC_SPECIES
Sc 44.96 Sc.upf
Te 127.60 Te.upf
ATOMIC_POSITIONS angstrom
Sc -0.486 -8.390 -4.146
Sc 0.088 -2.192 -4.547
Te -0.186 -3.581 -2.113
Te 0.000 0.000 0.000
Te -0.211 -7.001 -6.581
CELL_PARAMETERS angstrom
-1.822 -0.066 -3.627
2.214 -0.424 -3.376
-0.789 -10.092 -1.691
```


## ScTe3 (meta-GGA SCAN)

Data for ScTe3 at its PBEsol-relaxed geometry. Values from VASP.

Computed properties:
Energy in eV per atom: -31.610
Total magnetic moment in μB per atom: 0.000
ΔE_f (raw) in eV/atom: -0.113

```
&SYSTEM
  ibrav = 0, nat = 4, ntyp = 2
/
ATOMIC_SPECIES
Sc 44.96 Sc.upf
Te 127.60 Te.upf
ATOMIC_POSITIONS angstrom
Sc 0.000 0.000 0.000
Te -2.666 -1.640 1.141
Te 0.374 -2.960 1.484
Te -0.497 -0.293 3.282
CELL_PARAMETERS angstrom
-1.795 -4.307 -0.656
2.543 -1.612 3.624
-3.537 1.027 2.939
```


## ScTiTe2 (meta-GGA SCAN)

Data for ScTiTe2 at its PBEsol-relaxed geometry. Values from VASP.

Computed properties:
Energy in eV per atom: -26.911
Total magnetic moment in μB per atom: 0.242
ΔE_f (raw) in eV/atom: -0.719

```
&SYSTEM
  ibrav = 0, nat = 4, ntyp = 3
/
ATOMIC_SPECIES
Sc 44.96 Sc.upf
Te 127.60 Te.upf
Ti 47.87 Ti.upf
ATOMIC_POSITIONS angstrom
Sc 0.000 0.000 0.000
Te -1.275 0.478 2.682
Te -3.824 1.435 8.046
Ti -2.549 0.957 5.364
CELL_PARAMETERS angstrom
-1.282 3.427 3.277
-4.103 -0.544 2.644
0.286 -0.969 4.807
```


## Sc2TeW (meta-GGA SCAN)

Data for Sc2TeW at its PBEsol-relaxed geometry. Values from VASP.

Computed properties:
Energy in eV per atom: -33.848
Total magnetic moment in μB per atom: 0.003
ΔE_f (raw) in eV/atom: 0.006

```
&SYSTEM
  ibrav = 0, nat = 4, ntyp = 3
/
ATOMIC_SPECIES
Sc 44.96 Sc.upf
Te 127.60 Te.upf
W 183.84 W.upf
ATOMIC_POSITIONS angstrom
Sc 2.133 0.000 2.090
Sc 0.000 2.133 2.090
Te 2.133 2.133 0.000
W 0.000 0.000 0.000
CELL_PARAMETERS angstrom
4.266 0.000 0.000
0.000 4.266 0.000
-2.133 -2.133 4.179
```


## ScTeW2 (meta-GGA SCAN)

Data for ScTeW2 at its PBEsol-relaxed geometry. Values from VASP.

Computed properties:
Energy in eV per atom: -47.393
Total magnetic moment in μB per atom: 0.000
ΔE_f (raw) in eV/atom: 0.324

```
&SYSTEM
  ibrav = 0, nat = 4, ntyp = 3
/
ATOMIC_SPECIES
Sc 44.96 Sc.upf
W 183.84 W.upf
Te 127.60 Te.upf
ATOMIC_POSITIONS angstrom
Sc 1.644 -0.599 2.353
W 0.000 0.000 0.000
W 1.644 2.299 0.010
Te 0.000 1.700 2.363
CELL_PARAMETERS angstrom
3.287 0.000 0.000
0.000 4.597 0.021
0.000 -1.197 4.706
```


## ScTeW2 (meta-GGA SCAN)

Data for ScTeW2 at its PBEsol-relaxed geometry. Values from VASP.

Computed properties:
Energy in eV per atom: -47.318
Total magnetic moment in μB per atom: 0.000
ΔE_f (raw) in eV/atom: 0.398

```
&SYSTEM
  ibrav = 0, nat = 4, ntyp = 3
/
ATOMIC_SPECIES
Te 127.60 Te.upf
W 183.84 W.upf
Sc 44.96 Sc.upf
ATOMIC_POSITIONS angstrom
Te 0.935 1.396 2.190
W 0.000 0.000 8.715
W 0.935 1.396 6.793
Sc 0.000 0.000 4.581
CELL_PARAMETERS angstrom
3.021 -0.002 0.000
-1.151 2.793 0.000
0.000 0.000 8.911
```


## Sc2TeW (meta-GGA SCAN)

Data for Sc2TeW at its PBEsol-relaxed geometry. Values from VASP.

Computed properties:
Energy in eV per atom: -33.880
Total magnetic moment in μB per atom: 0.000
ΔE_f (raw) in eV/atom: -0.027

```
&SYSTEM
  ibrav = 0, nat = 4, ntyp = 3
/
ATOMIC_SPECIES
Sc 44.96 Sc.upf
W 183.84 W.upf
Te 127.60 Te.upf
ATOMIC_POSITIONS angstrom
Sc -2.494 1.467 0.859
Sc -5.129 0.390 3.150
W -2.651 -0.997 2.353
Te -2.690 -1.244 -0.427
CELL_PARAMETERS angstrom
-2.347 1.186 -2.143
-2.848 -3.747 1.046
0.012 3.008 4.338
```


## Sc3TeW (meta-GGA SCAN)

Data for Sc3TeW at its PBEsol-relaxed geometry. Values from VASP.

Computed properties:
Energy in eV per atom: -29.580
Total magnetic moment in μB per atom: 0.000
ΔE_f (raw) in eV/atom: 0.351

```
&SYSTEM
  ibrav = 0, nat = 5, ntyp = 3
/
ATOMIC_SPECIES
Te 127.60 Te.upf
Sc 44.96 Sc.upf
W 183.84 W.upf
ATOMIC_POSITIONS angstrom
Te 2.507 2.507 2.507
Sc 0.000 0.000 2.507
Sc 2.507 0.000 0.000
Sc 0.000 2.507 0.000
W 0.000 0.000 0.000
CELL_PARAMETERS angstrom
5.015 0.000 0.000
0.000 5.015 0.000
0.000 0.000 5.015
```


## ScTe2W (meta-GGA SCAN)

Data for ScTe2W at its PBEsol-relaxed geometry. Values from VASP.

Computed properties:
Relative energy among the computed polymorphs in eV/atom: 0.000
Energy in eV per atom: -39.610
Total magnetic moment in μB per atom: 0.000
ΔE_f (raw) in eV/atom: -0.003

```
&SYSTEM
  ibrav = 0, nat = 4, ntyp = 3
/
ATOMIC_SPECIES
W 183.84 W.upf
Te 127.60 Te.upf
Sc 44.96 Sc.upf
ATOMIC_POSITIONS angstrom
W -3.142 -0.229 -0.156
Te -2.634 0.971 2.307
Te -3.347 -2.979 0.346
Sc -2.839 -1.778 2.809
CELL_PARAMETERS angstrom
-2.558 2.295 -0.591
-3.121 -3.366 0.433
-0.323 0.957 5.112
```


## ScTeW2 (meta-GGA SCAN)

Data for ScTeW2 at its PBEsol-relaxed geometry. Values from VASP.

Computed properties:
Energy in eV per atom: -47.249
Total magnetic moment in μB per atom: 0.000
ΔE_f (raw) in eV/atom: 0.467

```
&SYSTEM
  ibrav = 0, nat = 4, ntyp = 3
/
ATOMIC_SPECIES
W 183.84 W.upf
Sc 44.96 Sc.upf
Te 127.60 Te.upf
ATOMIC_POSITIONS angstrom
W 0.000 0.000 0.000
W 6.969 4.023 2.845
Sc 4.646 2.682 1.897
Te 2.323 1.341 0.948
CELL_PARAMETERS angstrom
4.646 0.000 0.000
2.323 4.023 0.000
2.323 1.341 3.793
```


## ScTeW2 (meta-GGA SCAN)

Data for ScTeW2 at its PBEsol-relaxed geometry. Values from VASP.

Computed properties:
Energy in eV per atom: -47.183
Total magnetic moment in μB per atom: 0.000
ΔE_f (raw) in eV/atom: 0.533

```
&SYSTEM
  ibrav = 0, nat = 4, ntyp = 3
/
ATOMIC_SPECIES
Te 127.60 Te.upf
W 183.84 W.upf
Sc 44.96 Sc.upf
ATOMIC_POSITIONS angstrom
Te 1.771 1.836 2.220
W 0.000 2.241 0.016
W 0.000 -0.404 2.204
Sc 1.771 0.000 0.000
CELL_PARAMETERS angstrom
3.543 0.000 0.000
0.000 4.481 0.031
0.000 -0.809 4.408
```


## ScTeW (meta-GGA SCAN)

Data for ScTeW at its PBEsol-relaxed geometry. Values from VASP.

Computed properties:
Energy in eV per atom: -39.438
Total magnetic moment in μB per atom: 0.002
ΔE_f (raw) in eV/atom: 0.954

```
&SYSTEM
  ibrav = 0, nat = 3, ntyp = 3
/
ATOMIC_SPECIES
Sc 44.96 Sc.upf
W 183.84 W.upf
Te 127.60 Te.upf
ATOMIC_POSITIONS angstrom
Sc 2.275 1.314 0.929
W 4.550 2.627 1.858
Te 0.000 0.000 0.000
CELL_PARAMETERS angstrom
4.550 0.000 0.000
2.275 3.941 0.000
2.275 1.314 3.715
```


- Which formula does entry 11 have?
  ScTeW2


Copy entry 12 word for word.
## ScTeW (meta-GGA SCAN)

Data for ScTeW at its PBEsol-relaxed geometry. Values from VASP.

Computed properties:
Energy in eV per atom: -39.438
Total magnetic moment in μB per atom: 0.002
ΔE_f (raw) in eV/atom: 0.954

```
&SYSTEM
  ibrav = 0, nat = 3, ntyp = 3
/
ATOMIC_SPECIES
Sc 44.96 Sc.upf
W 183.84 W.upf
Te 127.60 Te.upf
ATOMIC_POSITIONS angstrom
Sc 2.275 1.314 0.929
W 4.550 2.627 1.858
Te 0.000 0.000 0.000
CELL_PARAMETERS angstrom
4.550 0.000 0.000
2.275 3.941 0.000
2.275 1.314 3.715
```